Entry 1:
## Pa2NbCo4Ge3 (GGA-PBE)

Data for a relaxed structure of Pa2NbCo4Ge3.

The density comes out at 10.454 g/cm3. The formation energy comes out at -492.1 kJ/mol of formula units. The crystal system is tetragonal.

It has space group P-4m2 (No. 115), with a = 3.996 Å, b = 3.996 Å, c = 10.031 Å, α = 90.00°, β = 90.00° and γ = 90.00°. The distinct sites, in fractional coordinates, are Pa at (0.000, 0.500, 0.241), Nb at (0.000, 0.000, 0.500), Co at (0.000, 0.000, 0.000), Co at (0.000, 0.500, 0.641), Co at (0.500, 0.500, 0.000), Ge at (0.000, 0.500, 0.872) and Ge at (0.500, 0.500, 0.500).

***

Entry 2:
## Pr2HoEr2Mg5 (GGA-PBE)

Data for a relaxed structure of Pr2HoEr2Mg5.

The density comes out at 5.238 g/cm3. The formation energy comes out at 26.7 kJ/mol of formula units. The crystal system is tetragonal.

It has space group P4/mbm (No. 127), with a = 10.624 Å, b = 10.624 Å, c = 5.072 Å, α = 90.00°, β = 90.00° and γ = 90.00°. The distinct sites, in fractional coordinates, are Pr at (0.177, 0.323, 0.000), Ho at (0.000, 0.000, 0.000), Er at (0.120, 0.620, 0.000), Mg at (0.000, 0.500, 0.500) and Mg at (0.070, 0.802, 0.500).

***

Entry 3:
## NdMgSe3 (GGA-PBE)

Data for a relaxed structure of NdMgSe3.

The density comes out at 4.818 g/cm3. The formation energy (no corrections) comes out at -1212 meV/atom. The crystal system is trigonal.

It has space group R-3 (No. 148, hexagonal axes), with a = 7.3164 Å, b = 7.3164 Å, c = 18.0855 Å, α = 90.00°, β = 90.00° and γ = 120.00°. The distinct sites, in fractional coordinates, are Nd at (0.0000, 0.0000, 0.1448), Mg at (0.0000, 0.0000, 0.3472) and Se at (0.0142, 0.3751, 0.9192).

***

Entry 4:
## HgRh3Br (GGA-PBE)

Data for a relaxed structure of HgRh3Br.

The density comes out at 7.447 g/cm3. The formation energy (no corrections) comes out at 1624 meV/atom. The crystal system is cubic.

It has space group Pm-3m (No. 221), with a = 5.084 Å, b = 5.084 Å, c = 5.084 Å, α = 90.00°, β = 90.00° and γ = 90.00°. The distinct sites, in fractional coordinates, are Hg at (0.000, 0.000, 0.000), Rh at (0.000, 0.000, 0.500) and Br at (0.500, 0.500, 0.500).

***

Entry 5:
## CeSm4Y3Te8 (GGA-PBE)

Data for a relaxed structure of CeSm4Y3Te8.

The density comes out at 6.893 g/cm3. The formation energy (no corrections) comes out at -1354 meV/atom. The crystal system is trigonal.

It has space group R-3m (No. 166, hexagonal axes), with a = 8.8382 Å, b = 8.8382 Å, c = 21.6790 Å, α = 90.00°, β = 90.00° and γ = 120.00°. The distinct sites, in fractional coordinates, are Ce at (0.0000, 0.0000, 0.0000), Sm at (0.0000, 0.0000, 0.5000), Sm at (0.0000, 0.5000, 0.5000), Y at (0.0000, 0.5000, 0.0000), Te at (0.0000, 0.0000, 0.2523) and Te at (0.0041, 0.5020, 0.2513).

***

Entry 6:
## ReSb2Os (GGA-PBE)

Data for a relaxed structure of ReSb2Os.

The density comes out at 14.042 g/cm3. The formation energy (no corrections) comes out at 915 meV/atom. The crystal system is tetragonal.

It has space group I-4m2 (No. 119), with a = 4.230 Å, b = 4.230 Å, c = 8.193 Å, α = 90.00°, β = 90.00° and γ = 90.00°. The distinct sites, in fractional coordinates, are Re at (0.000, 0.000, 0.000), Sb at (0.000, 0.000, 0.500), Sb at (0.000, 0.500, 0.750) and Os at (0.000, 0.500, 0.250).

***

Entry 7:
## ScSn2Hg2 (GGA-PBE)

Data for a relaxed structure of ScSn2Hg2.

The density comes out at 8.843 g/cm3. The formation energy comes out at -10.3 kJ/mol of formula units. The crystal system is tetragonal.

It has space group P4/mbm (No. 127), with a = 7.747 Å, b = 7.747 Å, c = 4.277 Å, α = 90.00°, β = 90.00° and γ = 90.00°. The distinct sites, in fractional coordinates, are Sc at (0.000, 0.000, 0.000), Sn at (0.138, 0.362, 0.000) and Hg at (0.170, 0.670, 0.500).

***

Entry 8:
## K2TcPb (GGA-PBE)

Data for a relaxed structure of K2TcPb.

The density comes out at 5.465 g/cm3. The formation energy comes out at 331.5 kJ/mol of formula units. The crystal system is tetragonal.

It has space group P4/mmm (No. 123), with a = 4.447 Å, b = 4.447 Å, c = 5.889 Å, α = 90.00°, β = 90.00° and γ = 90.00°. The distinct sites, in fractional coordinates, are K at (0.000, 0.500, 0.000), Tc at (0.000, 0.000, 0.500) and Pb at (0.500, 0.500, 0.500).

***

Entry 9:
## TlHg2Mo (GGA-PBE)

Data for a relaxed structure of TlHg2Mo.

The density comes out at 13.310 g/cm3. The formation energy comes out at 205.2 kJ/mol of formula units. The crystal system is trigonal.

It has space group R-3m (No. 166, hexagonal axes), with a = 3.1731 Å, b = 3.1731 Å, c = 30.1117 Å, α = 90.00°, β = 90.00° and γ = 120.00°. The distinct sites, in fractional coordinates, are Tl at (0.0000, 0.0000, 0.0000), Hg at (0.0000, 0.0000, 0.2420) and Mo at (0.0000, 0.0000, 0.5000).

***

Entry 10:
## HfTl3Cr2Te6 (GGA-PBE)

Data for a relaxed structure of HfTl3Cr2Te6.

The density comes out at 7.639 g/cm3. The formation energy (no corrections) comes out at -363 meV/atom. The crystal system is monoclinic.

It has space group C2/m (No. 12), with a = 7.054 Å, b = 12.214 Å, c = 8.382 Å, α = 90.00°, β = 90.07° and γ = 90.00°. The distinct sites, in fractional coordinates, are Hf at (0.000, 0.000, 0.000), Tl at (0.000, 0.000, 0.500), Tl at (0.000, 0.333, 0.500), Cr at (0.000, 0.333, 0.000), Te at (0.156, 0.500, 0.188) and Te at (0.173, 0.172, 0.188).

***

Entry 11:
## TaMn2Fe (GGA-PBE)

Data for a relaxed structure of TaMn2Fe.

The density comes out at 11.137 g/cm3. The formation energy comes out at 13.8 kJ/mol of formula units. The crystal system is tetragonal.

It has space group P4/mmm (No. 123), with a = 3.005 Å, b = 3.005 Å, c = 5.724 Å, α = 90.00°, β = 90.00° and γ = 90.00°. The distinct sites, in fractional coordinates, are Ta at (0.000, 0.000, 0.000), Mn at (0.500, 0.500, 0.270) and Fe at (0.000, 0.000, 0.500).

***

Entry 12:
## CaCrIr2 (GGA-PBE)

Data for a relaxed structure of CaCrIr2.

The density comes out at 12.017 g/cm3. The formation energy comes out at 62.0 kJ/mol of formula units. The crystal system is tetragonal.

It has space group I4/mmm (No. 139), with a = 4.224 Å, b = 4.224 Å, c = 7.380 Å, α = 90.00°, β = 90.00° and γ = 90.00°. The distinct sites, in fractional coordinates, are Ca at (0.000, 0.000, 0.000), Cr at (0.000, 0.000, 0.500) and Ir at (0.000, 0.500, 0.250).

***

Entry 13:
## Na3Pm2BiS6 (GGA-PBE)

Data for a relaxed structure of Na3Pm2BiS6.

The density comes out at 4.314 g/cm3. The formation energy (no corrections) comes out at -1458 meV/atom. The crystal system is monoclinic.

It has space group C2/m (No. 12), with a = 7.091 Å, b = 12.282 Å, c = 7.124 Å, α = 90.00°, β = 109.36° and γ = 90.00°. The distinct sites, in fractional coordinates, are Na at (0.000, 0.000, 0.000), Na at (0.000, 0.337, 0.000), Pm at (0.000, 0.167, 0.500), Bi at (0.000, 0.500, 0.500), S at (0.243, 0.000, 0.733) and S at (0.245, 0.333, 0.734).

***

Entry 14:
## Ac3Cd3Hg2 (GGA-PBE)

Data for a relaxed structure of Ac3Cd3Hg2.

The density comes out at 9.476 g/cm3. The formation energy comes out at -279.9 kJ/mol of formula units. The crystal system is orthorhombic.

It has space group Cmcm (No. 63), with a = 5.030 Å, b = 11.800 Å, c = 16.762 Å, α = 90.00°, β = 90.00° and γ = 90.00°. The distinct sites, in fractional coordinates, are Ac at (0.000, 0.097, 0.105), Ac at (0.000, 0.366, 0.250), Cd at (0.000, 0.349, 0.750), Cd at (0.000, 0.389, 0.040) and Hg at (0.000, 0.201, 0.603).

***

Entry 15:
## DyMnAs2 (GGA-PBE)

Data for a relaxed structure of DyMnAs2.

The density comes out at 7.571 g/cm3. The formation energy comes out at -267.9 kJ/mol of formula units. The crystal system is trigonal.

It has space group R-3m (No. 166, hexagonal axes), with a = 3.9378 Å, b = 3.9378 Å, c = 17.9955 Å, α = 90.00°, β = 90.00° and γ = 120.00°. The distinct sites, in fractional coordinates, are Dy at (0.0000, 0.0000, 0.0000), Mn at (0.0000, 0.0000, 0.5000) and As at (0.0000, 0.0000, 0.2360).

***

Entry 16:
## P3PdRu (GGA-PBE)

Data for a relaxed structure of P3PdRu.

The density comes out at 5.298 g/cm3. The formation energy comes out at 340.7 kJ/mol of formula units. The crystal system is cubic.

It has space group Pm-3m (No. 221), with a = 4.549 Å, b = 4.549 Å, c = 4.549 Å, α = 90.00°, β = 90.00° and γ = 90.00°. The distinct sites, in fractional coordinates, are P at (0.000, 0.000, 0.500), Pd at (0.500, 0.500, 0.500) and Ru at (0.000, 0.000, 0.000).

***

Entry 17:
## Rb12Pb3I5 (GGA-PBE)

Data for a relaxed structure of Rb12Pb3I5.

The density comes out at 2.888 g/cm3. The formation energy (no corrections) comes out at -654 meV/atom. The crystal system is cubic.

It has space group Ia-3d (No. 230), with a = 21.895 Å, b = 21.895 Å, c = 21.895 Å, α = 90.00°, β = 90.00° and γ = 90.00°. The distinct sites, in fractional coordinates, are Rb at (0.016, 0.070, 0.653), Pb at (0.000, 0.250, 0.125), I at (0.000, 0.000, 0.000) and I at (0.000, 0.250, 0.375).

***

Entry 18:
## BeOsPb (GGA-PBE)

Data for a relaxed structure of BeOsPb.

The density comes out at 13.752 g/cm3. The formation energy comes out at 169.7 kJ/mol of formula units. The crystal system is hexagonal.

It has space group P-6m2 (No. 187), with a = 4.0521 Å, b = 4.0521 Å, c = 3.4514 Å, α = 90.00°, β = 90.00° and γ = 120.00°. The distinct sites, in fractional coordinates, are Be at (0.0000, 0.0000, 0.0000), Os at (0.6667, 0.3333, 0.0000) and Pb at (0.3333, 0.6667, 0.5000).

***

Entry 19:
## LiNd6Ag (GGA-PBE)

Data for a relaxed structure of LiNd6Ag.

The density comes out at 6.547 g/cm3. The formation energy comes out at -21.1 kJ/mol of formula units. The crystal system is tetragonal.

It has space group I4/mmm (No. 139), with a = 5.254 Å, b = 5.254 Å, c = 18.014 Å, α = 90.00°, β = 90.00° and γ = 90.00°. The distinct sites, in fractional coordinates, are Li at (0.000, 0.000, 0.000), Nd at (0.000, 0.000, 0.248), Nd at (0.000, 0.500, 0.108) and Ag at (0.000, 0.000, 0.500).

***

Entry 20:
## Hg3Te2H4 (GGA-PBE)

Data for a relaxed structure of Hg3Te2H4.

For the total energy, the calculation gives -2.09 eV/atom. The density comes out at 6.381 g/cm3. The crystal system is orthorhombic.

It has space group Cccm (No. 66), with a = 6.670 Å, b = 17.857 Å, c = 7.525 Å, α = 90.00°, β = 90.00° and γ = 90.00°. The distinct sites, in fractional coordinates, are Hg at (0.000, 0.000, 0.250), Hg at (0.000, 0.256, 0.250), Te at (0.225, 0.092, 0.000), H at (0.025, 0.253, 0.500) and H at (0.080, 0.469, 0.000).